Compound: La2CoH6Pd
Source: Alexandria via LeMat-Bulk
Functional: PBE-GGA
Structure: relaxed

Structure (extended XYZ):
```
10
Lattice="5.335 -0.015 0.008 -0.015 5.335 0.008 2.666 2.666 3.718" Properties=species:S:1:pos:R:3 pbc="T T T"
H 5.322 5.322 2.045
H 6.510 4.142 3.725
H 1.475 3.845 0.008
H 3.844 3.845 0.012
H 2.664 2.664 1.688
H 4.141 4.142 3.721
La 2.656 5.330 1.866
La 5.330 2.656 1.866
Co 2.660 2.660 0.008
Pd 2.651 8.001 3.725
```

Properties
Total moment   0.01 μB/f.u.
Calculated total energy   -4.7286 eV per atom